[1]
Computed, not measured: LiCu2Si2 after structural relaxation at the PBE level of DFT.

Space-group type: I4/mmm, No. 139
Uncorrected formation energy: 0.039 eV per atom

Cell lengths 3.6175, 3.6175, 6.1769 Å; angles 72.97, 72.97, 90.00 degrees
Last column: nearest neighbours and their distance in Å.
Fractional coordinates of all 5 atoms:
Li1 0.0000 0.0000 0.0000  8 Cu 2.84
Si1 0.2500 0.7500 0.5000  4 Cu 2.41, 4 Si 2.56
Si2 0.7500 0.2500 0.5000  4 Cu 2.41, 4 Si 2.56
Cu1 0.6090 0.6090 0.7821  4 Si 2.41, 1 Cu 2.45
Cu2 0.3910 0.3910 0.2179  4 Si 2.41, 1 Cu 2.45



[2]
Computed, not measured: LiCu2Si after structural relaxation at the PBE level of DFT.

Space-group type: R-3m, No. 166
Uncorrected formation energy: -0.001 eV per atom

Cell lengths 8.5347, 8.5347, 8.5347 Å; angles 17.98, 17.98, 17.98 degrees
Last column: nearest neighbours and their distance in Å.
Fractional coordinates of all 4 atoms:
Cu1 0.0041 0.0041 0.0041  3 Si 2.52, 6 Cu 2.67, 3 Li 2.69
Cu2 0.4959 0.4959 0.4959  3 Si 2.52, 6 Cu 2.67, 3 Li 2.69
Li1 0.2500 0.2500 0.2500  6 Li 2.67, 6 Cu 2.69
Si1 0.7500 0.7500 0.7500  6 Cu 2.52, 6 Si 2.67



[3]
Computed, not measured: LiCuSi after structural relaxation at the PBE level of DFT.

Space-group type: P-6m2, No. 187
Uncorrected formation energy: -0.181 eV per atom

Cell lengths 4.1161, 4.1161, 2.7463 Å; angles 90.00, 90.00, 120.00 degrees
Last column: nearest neighbours and their distance in Å.
Fractional coordinates of all 3 atoms:
Si1 0.0000 0.0000 0.5000  3 Cu 2.38
Li1 0.3333 0.6667 0.0000  6 Si 2.74, 6 Cu 2.74, 2 Li 2.75
Cu1 0.6667 0.3333 0.5000  3 Si 2.38



[4]
Computed, not measured: LiSmCuSi after structural relaxation at the PBE level of DFT.

Space-group type: F-43m, No. 216
Uncorrected formation energy: -0.270 eV per atom

Cell lengths 4.7374, 4.7374, 4.7374 Å; angles 60.00, 60.00, 60.00 degrees
Last column: nearest neighbours and their distance in Å.
Fractional coordinates of all 4 atoms:
Sm1 0.5000 0.5000 0.5000  4 Cu 2.90, 4 Si 2.90
Li1 0.0000 0.0000 0.0000  4 Si 2.90, 4 Cu 2.90
Si1 0.7500 0.7500 0.7500  4 Sm 2.90, 4 Li 2.90
Cu1 0.2500 0.2500 0.2500  4 Li 2.90, 4 Sm 2.90



[5]
Computed, not measured: LiSmCuSi after structural relaxation at the PBE level of DFT.

Space-group type: F-43m, No. 216
Uncorrected formation energy: -0.298 eV per atom

Cell lengths 4.5543, 4.5543, 4.5543 Å; angles 60.00, 60.00, 60.00 degrees
Last column: nearest neighbours and their distance in Å.
Fractional coordinates of all 4 atoms:
Si1 0.2500 0.2500 0.2500  4 Li 2.79, 4 Cu 2.79
Cu1 0.0000 0.0000 0.0000  4 Sm 2.79, 4 Si 2.79
Sm1 0.7500 0.7500 0.7500  4 Cu 2.79, 4 Li 2.79
Li1 0.5000 0.5000 0.5000  4 Si 2.79, 4 Sm 2.79



[6]
Computed, not measured: Sr2Li3Cu12Si after structural relaxation at the PBE level of DFT.

Space-group type: R-3m, No. 166
Uncorrected formation energy: 0.112 eV per atom

Cell lengths 9.6913, 9.6913, 9.6913 Å; angles 37.06, 37.06, 37.06 degrees
Last column: nearest neighbours and their distance in Å.
Fractional coordinates of all 18 atoms:
Cu1 0.9359 0.9359 0.3455  1 Si 2.44, 4 Cu 2.47-2.52, 1 Li 2.57
Cu2 0.5824 0.1902 0.5824  2 Li 2.39, 4 Cu 2.42-2.47
Cu3 0.0641 0.6545 0.0641  1 Si 2.44, 4 Cu 2.47-2.52, 1 Li 2.57
Cu4 0.4176 0.8098 0.4176  2 Li 2.39, 4 Cu 2.42-2.47
Cu5 0.3455 0.9359 0.9359  1 Si 2.44, 4 Cu 2.47-2.52, 1 Li 2.57
Cu6 0.5824 0.5824 0.1902  2 Li 2.39, 4 Cu 2.42-2.47
Cu7 0.6545 0.0641 0.0641  1 Si 2.44, 4 Cu 2.47-2.52, 1 Li 2.57
Cu8 0.8098 0.4176 0.4176  2 Li 2.39, 4 Cu 2.42-2.47
Cu9 0.9359 0.3455 0.9359  1 Si 2.44, 4 Cu 2.47-2.52, 1 Li 2.57
Cu10 0.4176 0.4176 0.8098  2 Li 2.39, 4 Cu 2.42-2.47
Cu11 0.0641 0.0641 0.6545  1 Si 2.44, 4 Cu 2.47-2.52, 1 Li 2.57
Cu12 0.1902 0.5824 0.5824  2 Li 2.39, 4 Cu 2.42-2.47
Sr1 0.3494 0.3494 0.3494  12 Cu 3.10-3.45
Sr2 0.6506 0.6506 0.6506  12 Cu 3.10-3.45
Si1 0.0000 0.0000 0.0000  6 Cu 2.44
Li1 0.0000 0.5000 0.0000  6 Cu 2.39-2.57
Li2 0.0000 0.0000 0.5000  6 Cu 2.39-2.57
Li3 0.5000 0.0000 0.0000  6 Cu 2.39-2.57



What did the sixth record say?
Computed, not measured: Sr2Li3Cu12Si after structural relaxation at the PBE level of DFT.

Space-group type: R-3m, No. 166
Uncorrected formation energy: 0.112 eV per atom

Cell lengths 9.6913, 9.6913, 9.6913 Å; angles 37.06, 37.06, 37.06 degrees
Last column: nearest neighbours and their distance in Å.
Fractional coordinates of all 18 atoms:
Cu1 0.9359 0.9359 0.3455  1 Si 2.44, 4 Cu 2.47-2.52, 1 Li 2.57
Cu2 0.5824 0.1902 0.5824  2 Li 2.39, 4 Cu 2.42-2.47
Cu3 0.0641 0.6545 0.0641  1 Si 2.44, 4 Cu 2.47-2.52, 1 Li 2.57
Cu4 0.4176 0.8098 0.4176  2 Li 2.39, 4 Cu 2.42-2.47
Cu5 0.3455 0.9359 0.9359  1 Si 2.44, 4 Cu 2.47-2.52, 1 Li 2.57
Cu6 0.5824 0.5824 0.1902  2 Li 2.39, 4 Cu 2.42-2.47
Cu7 0.6545 0.0641 0.0641  1 Si 2.44, 4 Cu 2.47-2.52, 1 Li 2.57
Cu8 0.8098 0.4176 0.4176  2 Li 2.39, 4 Cu 2.42-2.47
Cu9 0.9359 0.3455 0.9359  1 Si 2.44, 4 Cu 2.47-2.52, 1 Li 2.57
Cu10 0.4176 0.4176 0.8098  2 Li 2.39, 4 Cu 2.42-2.47
Cu11 0.0641 0.0641 0.6545  1 Si 2.44, 4 Cu 2.47-2.52, 1 Li 2.57
Cu12 0.1902 0.5824 0.5824  2 Li 2.39, 4 Cu 2.42-2.47
Sr1 0.3494 0.3494 0.3494  12 Cu 3.10-3.45
Sr2 0.6506 0.6506 0.6506  12 Cu 3.10-3.45
Si1 0.0000 0.0000 0.0000  6 Cu 2.44
Li1 0.0000 0.5000 0.0000  6 Cu 2.39-2.57
Li2 0.0000 0.0000 0.5000  6 Cu 2.39-2.57
Li3 0.5000 0.0000 0.0000  6 Cu 2.39-2.57



The lowest uncorrected formation energy belongs to which entry?
number 5



Which value of uncorrected formation energy does entry 6 give?
0.112 eV per atom